A.
Computed, not measured: a relaxed structure of Na2TmPb3 at the PBE level of DFT.

```
6
Lattice="-0.5871 -0.1332 -3.5701 1.3522 -3.3571 -0.0971 -11.8084 -4.8178 2.1215" Properties=species:S:1:pos:R:3 pbc="T T T"
Na -9.4391 -5.7523 -0.0690
Na -1.6042 -2.5557 -1.4766
Tm -5.5216 -4.1540 -0.7728
Pb 0.0000 0.0000 0.0000
Pb -7.8375 -3.1977 1.4081
Pb -3.9709 -1.6201 0.7134
```

Properties
Calculated volume ... 169 Å³ per cell
Crystal system ... tetragonal
Density of states at the Fermi level ... 0.571 states/eV per atom

***

B.
Computed, not measured: a relaxed structure of Na2TmPb3 at the PBE level of DFT.

```
12
Lattice="5.4005 0.0000 0.0208 2.7003 8.1820 0.0104 -0.0305 0.0000 7.6954" Properties=species:S:1:pos:R:3 pbc="T T T"
Na 0.0000 0.0000 0.0000
Na -0.0153 0.0000 3.8477
Na 2.6850 2.6986 3.8581
Na 5.3853 5.4834 3.8686
Tm 2.7003 2.6244 0.0104
Tm 5.4005 5.5576 0.0208
Pb 5.3770 2.7468 5.8748
Pb 2.6931 0.0000 1.8977
Pb 2.6933 5.4352 1.8519
Pb 5.3935 2.7468 1.8623
Pb 2.6767 5.4352 5.8644
Pb 2.6769 0.0000 5.8185
```

Properties
Calculated volume ... 340 Å³ per cell
Crystal system ... orthorhombic
Density of states at the Fermi level ... 0.429 states/eV per atom

***

Which structure is most stable, and how do the rest compare? From most to least stable: B, A.

***

A.
Computed, not measured: a relaxed structure of Na3PbW at the PBE level of DFT.

```
5
Lattice="5.7786 0.0000 0.0000 0.0000 5.7786 0.0000 0.0000 0.0000 5.7786" Properties=species:S:1:pos:R:3 pbc="T T T"
Pb 0.0000 0.0000 0.0000
Na 0.0000 2.8893 0.0000
Na 0.0000 0.0000 2.8893
Na 2.8893 0.0000 0.0000
W 2.8893 2.8893 2.8893
```

Properties
Calculated volume ... 193 Å³ per cell
Crystal system ... cubic
Density of states at the Fermi level ... 0.534 states/eV per atom

***

B.
Computed, not measured: a relaxed structure of Na3PbW at the PBE level of DFT.

```
5
Lattice="-1.1631 -4.9102 -2.7560 1.9288 -2.9914 4.5156 -5.2902 -0.0111 2.2523" Properties=species:S:1:pos:R:3 pbc="T T T"
Pb -2.2623 -3.9563 2.0059
Na 0.9644 -1.4957 2.2578
Na -2.6451 -0.0055 1.1261
Na -0.5816 -2.4551 -1.3780
W 0.0000 0.0000 0.0000
```

Properties
Calculated volume ... 190 Å³ per cell
Crystal system ... cubic
Density of states at the Fermi level ... 0.671 states/eV per atom

***

Which structure is most stable, and how do the rest compare? From most to least stable: B, A.